## Sm2Y5Tm5 (GGA-PBE)

Data for crystalline Sm2Y5Tm5 at its relaxed geometry.

Structure (POSCAR):
```
Sm2Y5Tm5
1.0
8.5083 -2.7991 0.0000
8.5083 2.7991 0.0000
-5.4720 0.0000 7.9548
Sm Y Tm
2 5 5
Direct
0.1243 0.1243 0.2930
0.8757 0.8757 0.7070
0.0000 0.0000 0.5000
0.1251 0.1251 0.9604
0.2499 0.2499 0.7522
0.7501 0.7501 0.2478
0.8749 0.8749 0.0396
0.3757 0.3757 0.2109
0.3756 0.3756 0.5442
0.5000 0.5000 0.0000
0.6244 0.6244 0.4558
0.6243 0.6243 0.7891
```

***

## Sm2YTm8 (GGA-PBE)

Data for crystalline Sm2YTm8 at its relaxed geometry.

Structure (POSCAR):
```
Sm2YTm8
1.0
8.2064 -3.2759 0.0000
8.2064 3.2759 0.0000
-1.1472 0.0000 6.4802
Sm Y Tm
2 1 8
Direct
0.2444 0.2444 0.3119
0.7556 0.7556 0.6881
0.0000 0.0000 0.0000
0.1740 0.6514 0.5963
0.2016 0.2016 0.8027
0.3486 0.8260 0.4037
0.4119 0.4119 0.0970
0.5881 0.5881 0.9030
0.6514 0.1740 0.5963
0.7984 0.7984 0.1973
0.8260 0.3486 0.4037
```

***

## SmYTm2 (GGA-PBE)

Data for crystalline SmYTm2 at its relaxed geometry.

Structure (POSCAR):
```
SmYTm2
1.0
1.7743 1.0244 11.5240
-1.7743 1.0244 11.5240
0.0000 -2.0487 11.5240
Sm Y Tm
1 1 2
Direct
0.0000 0.0000 0.0000
0.5000 0.5000 0.5000
0.2496 0.2496 0.2496
0.7504 0.7504 0.7504
```

***

| no. | energy of formation from the pure elements (eV per atom) | distance to the lowest polymorph of the same formula (meV/atom) |
| --- | --- | --- |
| 1 | 0.0674 | 41 |
| 2 | 0.1772 | 17 |
| 3 | 0.0259 | 17 |